Density functional theory data (PBE-GGA) for crystalline Ta2GaSbIr at its relaxed geometry.

## Properties
- raw total energy (eV per atom) = -6.869
- crystal system = tetragonal
- uncorrected formation energy (eV/atom) = 1.07
- space group = No. 123

a b c (Å): 4.784 4.784 4.553
angles (deg): 90.00 90.00 90.00
Element x y z (fractional)
Ta 0.000 0.500 0.000
Ta 0.500 0.000 0.000
Ga 0.000 0.000 0.000
Sb 0.500 0.500 0.500
Ir 0.000 0.000 0.500

***

Density functional theory data (PBE-GGA) for crystalline La2Pm3Dy at its relaxed geometry.

## Properties
- raw total energy (eV per atom) = -4.732
- crystal system = monoclinic
- ΔE_f (eV/atom) = 0.053
- space group = No. 15

a b c (Å): 6.814 6.814 9.215
angles (deg): 97.84 97.84 95.13
Element x y z (fractional)
La 0.122 0.627 0.876
La 0.373 0.878 0.624
La 0.627 0.122 0.376
La 0.878 0.373 0.124
Pm 0.168 0.335 0.500
Pm 0.335 0.168 0.000
Pm 0.416 0.584 0.250
Pm 0.584 0.416 0.750
Pm 0.665 0.832 0.000
Pm 0.832 0.665 0.500
Dy 0.083 0.917 0.250
Dy 0.917 0.083 0.750